(1)
Density functional theory data (PBE) for a geometry-optimized LiCrBiCl2 structure.

Structure (CIF):
```
data_LiCrBiCl2
_cell_length_a 4.679
_cell_length_b 4.679
_cell_length_c 5.933
_cell_angle_alpha 90.00
_cell_angle_beta 90.00
_cell_angle_gamma 90.00
_space_group_name_H-M_alt 'P 4/m m m'
_space_group_IT_number 123
_space_group_name_Hall '-P 4 2'
loop_
_atom_site_label
_atom_site_type_symbol
_atom_site_fract_x
_atom_site_fract_y
_atom_site_fract_z
Li1 Li 0.000 0.000 0.000
Cr1 Cr 0.500 0.500 0.500
Bi1 Bi 0.500 0.500 0.000
Cl1 Cl 0.000 0.500 0.500
```

Total magnetic moment = 2.771 μB/f.u.
Energy relative to the elements, uncorrected = -390 meV/atom
Crystal system = tetragonal
Uncorrected energy = -4.21 eV per atom

=====

(2)
Density functional theory data (PBE) for a geometry-optimized NaZrAsPb2 structure.

Structure (CIF):
```
data_NaZrAsPb2
_cell_length_a 5.742
_cell_length_b 5.742
_cell_length_c 5.094
_cell_angle_alpha 90.00
_cell_angle_beta 90.00
_cell_angle_gamma 90.00
_space_group_name_H-M_alt 'P 4/m m m'
_space_group_IT_number 123
_space_group_name_Hall '-P 4 2'
loop_
_atom_site_label
_atom_site_type_symbol
_atom_site_fract_x
_atom_site_fract_y
_atom_site_fract_z
Na1 Na 0.000 0.000 0.000
Zr1 Zr 0.500 0.500 0.000
As1 As 0.500 0.500 0.500
Pb1 Pb 0.000 0.500 0.500
```

Total magnetic moment = 0.000 μB/f.u.
ΔH_f (0 K) = 1.35 eV per formula unit
Crystal system = tetragonal
Uncorrected energy = -4.12 eV per atom

=====

(3)
Density functional theory data (PBE) for a geometry-optimized KPuAuS2 structure.

Structure (CIF):
```
data_KPuAuS2
_cell_length_a 7.308
_cell_length_b 5.268
_cell_length_c 7.710
_cell_angle_alpha 90.00
_cell_angle_beta 101.78
_cell_angle_gamma 90.00
_space_group_name_H-M_alt 'P 1 2/c 1'
_space_group_IT_number 13
loop_
_space_group_symop_operation_xyz
'x,y,z'
'-x,-y,-z'
'-x,y,-z+1/2'
'x,-y,z+1/2'
loop_
_atom_site_label
_atom_site_type_symbol
_atom_site_fract_x
_atom_site_fract_y
_atom_site_fract_z
K1 K 0.000 0.162 0.250
Pu1 Pu 0.500 0.487 0.750
Au1 Au 0.500 0.000 0.000
S1 S 0.257 0.308 0.959
```

Total magnetic moment = 5.962 μB/f.u.
Energy relative to the elements, uncorrected = -992 meV/atom
Crystal system = monoclinic
Uncorrected energy = -6.38 eV per atom

=====

Question: The lowest total magnetic moment belongs to which entry?
Answer: NaZrAsPb2

=====

Question: Look up the total magnetic moment of the third one.
Answer: 5.962 μB/f.u.